# 1
{"formula": "Nd2Sm2CBr5", "functional": "PBE", "state": "optimized geometry", "lattice_angstrom": [[-4.358, -6.277, -5.343], [-2.374, -8.555, -2.849], [-5.598, 1.645, 5.955]], "species": ["Br", "Br", "Br", "Br", "Br", "C", "Nd", "Nd", "Sm", "Sm"], "frac_coords": [[0.831, 0.831, 0.178], [0.163, 0.163, 0.348], [0.500, 0.500, 0.500], [0.837, 0.837, 0.652], [0.169, 0.169, 0.822], [0.500, 0.500, 0.000], [0.642, 0.642, 0.076], [0.358, 0.358, 0.924], [0.999, 0.999, 0.204], [0.001, 0.001, 0.796]]}



# 2
{"formula": "Nd2Sm2CBr5", "functional": "PBE", "state": "optimized geometry", "lattice_angstrom": [[9.111, -1.974, 0.000], [9.111, 1.974, 0.000], [-1.911, 0.000, 8.172]], "species": ["Br", "Br", "Br", "Br", "Br", "C", "Nd", "Nd", "Sm", "Sm"], "frac_coords": [[0.828, 0.828, 0.166], [0.166, 0.166, 0.338], [0.500, 0.500, 0.500], [0.834, 0.834, 0.662], [0.172, 0.172, 0.834], [0.500, 0.500, 0.000], [0.999, 0.999, 0.206], [0.001, 0.001, 0.794], [0.640, 0.640, 0.074], [0.360, 0.360, 0.926]]}



# 3
{"formula": "Nd2Tm2CBr5", "functional": "PBE", "state": "optimized geometry", "lattice_angstrom": [[9.162, -1.937, 0.000], [9.162, 1.937, 0.000], [-1.820, 0.000, 8.252]], "species": ["Br", "Br", "Br", "Br", "Br", "C", "Nd", "Nd", "Tm", "Tm"], "frac_coords": [[0.829, 0.829, 0.150], [0.166, 0.166, 0.314], [0.500, 0.500, 0.500], [0.834, 0.834, 0.686], [0.171, 0.171, 0.850], [0.500, 0.500, 0.000], [0.999, 0.999, 0.206], [0.001, 0.001, 0.794], [0.631, 0.631, 0.066], [0.369, 0.369, 0.934]]}



# 4
{"formula": "Os3C10Br2O10", "functional": "PBE", "state": "optimized geometry", "lattice_angstrom": [[7.935, -3.898, 0.000], [7.935, 3.898, 0.000], [-3.273, 0.000, 13.367]], "species": ["Br", "Br", "Br", "Br", "C", "C", "C", "C", "C", "C", "C", "C", "C", "C", "C", "C", "C", "C", "C", "C", "C", "C", "C", "C", "O", "O", "O", "O", "O", "O", "O", "O", "O", "O", "O", "O", "O", "O", "O", "O", "O", "O", "O", "O", "Os", "Os", "Os", "Os", "Os", "Os"], "frac_coords": [[0.418, 0.519, 0.208], [0.898, 0.148, 0.288], [0.519, 0.418, 0.708], [0.148, 0.898, 0.788], [0.463, 0.173, 0.038], [0.028, 0.011, 0.047], [0.826, 0.896, 0.099], [0.629, 0.656, 0.122], [0.999, 0.339, 0.164], [0.081, 0.605, 0.290], [0.754, 0.580, 0.320], [0.093, 0.720, 0.377], [0.314, 0.879, 0.442], [0.437, 0.505, 0.470], [0.173, 0.463, 0.538], [0.011, 0.028, 0.547], [0.896, 0.826, 0.599], [0.656, 0.629, 0.622], [0.339, 0.999, 0.664], [0.605, 0.081, 0.790], [0.580, 0.754, 0.820], [0.720, 0.093, 0.877], [0.879, 0.314, 0.942], [0.505, 0.437, 0.970], [0.937, 0.736, 0.070], [0.552, 0.791, 0.081], [0.179, 0.897, 0.084], [0.153, 0.267, 0.145], [0.554, 0.099, 0.237], [0.927, 0.798, 0.308], [0.764, 0.661, 0.396], [0.362, 0.946, 0.403], [0.561, 0.345, 0.452], [0.179, 0.356, 0.471], [0.736, 0.937, 0.570], [0.791, 0.552, 0.581], [0.897, 0.179, 0.584], [0.267, 0.153, 0.645], [0.099, 0.554, 0.737], [0.798, 0.927, 0.808], [0.661, 0.764, 0.896], [0.946, 0.362, 0.903], [0.345, 0.561, 0.952], [0.356, 0.179, 0.971], [0.641, 0.153, 0.149], [0.751, 0.443, 0.193], [0.220, 0.773, 0.496], [0.153, 0.641, 0.649], [0.443, 0.751, 0.693], [0.773, 0.220, 0.996]]}



# 5
{"formula": "ReC5BrO5", "functional": "PBE", "state": "optimized geometry", "lattice_angstrom": [[-4.337, -8.617, -6.329], [9.342, -6.142, 1.960], [-2.534, -2.301, 4.868]], "species": ["Br", "Br", "Br", "Br", "C", "C", "C", "C", "C", "C", "C", "C", "C", "C", "C", "C", "C", "C", "C", "C", "C", "C", "C", "C", "O", "O", "O", "O", "O", "O", "O", "O", "O", "O", "O", "O", "O", "O", "O", "O", "O", "O", "O", "O", "Re", "Re", "Re", "Re"], "frac_coords": [[0.741, 0.750, 0.100], [0.241, 0.750, 0.400], [0.759, 0.250, 0.600], [0.259, 0.250, 0.900], [0.725, 0.124, 0.086], [0.725, 0.376, 0.086], [0.471, 0.623, 0.192], [0.471, 0.877, 0.192], [0.523, 0.250, 0.212], [0.023, 0.250, 0.288], [0.971, 0.623, 0.308], [0.971, 0.877, 0.308], [0.225, 0.124, 0.414], [0.225, 0.376, 0.414], [0.775, 0.624, 0.586], [0.775, 0.876, 0.586], [0.029, 0.123, 0.692], [0.029, 0.377, 0.692], [0.977, 0.750, 0.712], [0.477, 0.750, 0.788], [0.529, 0.123, 0.808], [0.529, 0.377, 0.808], [0.275, 0.624, 0.914], [0.275, 0.876, 0.914], [0.961, 0.250, 0.134], [0.781, 0.049, 0.159], [0.781, 0.451, 0.159], [0.022, 0.546, 0.230], [0.022, 0.954, 0.230], [0.522, 0.546, 0.270], [0.522, 0.954, 0.270], [0.281, 0.049, 0.341], [0.281, 0.451, 0.341], [0.461, 0.250, 0.366], [0.539, 0.750, 0.634], [0.719, 0.549, 0.659], [0.719, 0.951, 0.659], [0.478, 0.046, 0.730], [0.478, 0.454, 0.730], [0.978, 0.046, 0.770], [0.978, 0.454, 0.770], [0.219, 0.549, 0.841], [0.219, 0.951, 0.841], [0.039, 0.750, 0.866], [0.376, 0.750, 0.047], [0.876, 0.750, 0.453], [0.124, 0.250, 0.547], [0.624, 0.250, 0.953]]}



# 6
{"formula": "Pm2CBr", "functional": "PBE", "state": "optimized geometry", "lattice_angstrom": [[-0.617, 1.927, -3.202], [-0.633, -1.860, -3.237], [-6.800, -0.004, 3.547]], "species": ["Br", "C", "Pm", "Pm"], "frac_coords": [[0.000, 0.000, 0.000], [0.500, 0.500, 0.500], [0.772, 0.772, 0.317], [0.228, 0.228, 0.683]]}



# 7
{"formula": "Pm2C2Br", "functional": "PBE", "state": "optimized geometry", "lattice_angstrom": [[7.618, -2.061, 0.000], [7.618, 2.061, 0.000], [-1.348, 0.000, 6.563]], "species": ["Br", "Br", "C", "C", "C", "C", "Pm", "Pm", "Pm", "Pm"], "frac_coords": [[0.222, 0.778, 0.250], [0.778, 0.222, 0.750], [0.359, 0.085, 0.028], [0.915, 0.641, 0.472], [0.085, 0.359, 0.528], [0.641, 0.915, 0.972], [0.847, 0.464, 0.156], [0.536, 0.153, 0.344], [0.464, 0.847, 0.656], [0.153, 0.536, 0.844]]}



# 8
{"formula": "Pr10C4Br15", "functional": "PBE", "state": "optimized geometry", "lattice_angstrom": [[9.286, 0.000, 0.000], [3.357, 9.698, 0.000], [4.522, 2.436, 9.967]], "species": ["Br", "Br", "Br", "Br", "Br", "Br", "Br", "Br", "Br", "Br", "Br", "Br", "Br", "Br", "Br", "C", "C", "C", "C", "Pr", "Pr", "Pr", "Pr", "Pr", "Pr", "Pr", "Pr", "Pr", "Pr"], "frac_coords": [[0.500, 0.500, 0.000], [0.232, 0.909, 0.061], [0.615, 0.727, 0.183], [0.334, 0.168, 0.220], [0.052, 0.557, 0.296], [0.743, 0.974, 0.355], [0.454, 0.368, 0.412], [0.132, 0.814, 0.469], [0.868, 0.186, 0.531], [0.546, 0.632, 0.588], [0.257, 0.026, 0.645], [0.948, 0.443, 0.704], [0.666, 0.832, 0.780], [0.385, 0.273, 0.817], [0.768, 0.091, 0.939], [0.956, 0.296, 0.062], [0.880, 0.359, 0.171], [0.120, 0.641, 0.829], [0.044, 0.704, 0.938], [0.169, 0.430, 0.046], [0.922, 0.820, 0.112], [0.667, 0.249, 0.168], [0.027, 0.104, 0.264], [0.753, 0.459, 0.355], [0.247, 0.541, 0.645], [0.973, 0.896, 0.736], [0.333, 0.751, 0.832], [0.078, 0.180, 0.888], [0.831, 0.570, 0.954]]}



Number 1: DFT total energy -50.94 eV per cell, calculated volume 289.50 Å³/cell. Number 2: DFT total energy -50.95 eV per cell, calculated volume 293.92 Å³/cell. Number 3: DFT total energy -50.20 eV per cell, calculated volume 292.92 Å³/cell. Number 4: DFT total energy -373.71 eV per cell, calculated volume 826.88 Å³/cell. Number 5: DFT total energy -373.01 eV per cell, calculated volume 779.34 Å³/cell. Number 6: DFT total energy -24.03 eV per cell, calculated volume 91.31 Å³/cell. Number 7: DFT total energy -67.02 eV per cell, calculated volume 206.08 Å³/cell. Number 8: DFT total energy -153.22 eV per cell, calculated volume 897.61 Å³/cell.